VSbIO2: relaxed, GGA+U.

Properties
Symmetry: P4/mmm (123)
Size of the total moment, μB/cell: 0.1
Uncorrected energy, eV per atom: -4.78
Offset from the most stable computed form, eV/atom: 0.014

Lattice parameters (Å, degrees): 4.011 4.011 6.164 90.00 90.00 90.00
Fractional positions:
V 0.000 0.000 0.000
Sb 0.500 0.500 0.500
I 0.000 0.000 0.500
O 0.000 0.500 0.000
O 0.500 0.000 0.000